Entry 1:
Here is a relaxed structure of Li2HfReO6 from Alexandria. Energies are from PBE.

Unit cell a=5.608 b=5.608 c=4.112 alpha=90.00 beta=90.00 gamma=90.00
Space group P4mm (No. 99)
One atom of each set of equivalent atoms:
Li: 0.000 0.500 0.000 (multiplicity 2)
Hf: 0.000 0.000 0.779 (multiplicity 1)
Re: 0.500 0.500 0.727 (multiplicity 1)
O: 0.000 0.000 0.298 (multiplicity 1)
O: 0.263 0.263 0.825 (multiplicity 4)
O: 0.500 0.500 0.307 (multiplicity 1)

The value obtained for the uncorrected formation energy is -2.207 eV per atom. For the magnetization, the calculation gives 0.04 μB/atom.



Entry 2:
Here is a relaxed structure of SmErSnRu from Alexandria. Energies are from PBE.

Unit cell a=7.219 b=7.219 c=7.219 alpha=90.00 beta=90.00 gamma=90.00
Space group F-43m (No. 216)
One atom of each set of equivalent atoms:
Sm: 0.000 0.000 0.000 (multiplicity 4)
Er: 0.000 0.000 0.500 (multiplicity 4)
Sn: 0.250 0.250 0.250 (multiplicity 4)
Ru: 0.250 0.250 0.750 (multiplicity 4)

For the energy of formation, the calculation gives -375 meV per atom. For the magnetization, the calculation gives 0.00 μB/atom.



Entry 3:
Here is a relaxed structure of AlB3Os from Alexandria. Energies are from PBE.

Unit cell a=3.930 b=3.930 c=3.930 alpha=90.00 beta=90.00 gamma=90.00
Space group Pm-3m (No. 221)
One atom of each set of equivalent atoms:
Al: 0.000 0.000 0.000 (multiplicity 1)
B: 0.000 0.000 0.500 (multiplicity 3)
Os: 0.500 0.500 0.500 (multiplicity 1)

For the energy of formation, the calculation gives 2298 meV per atom. The value obtained for the distance to the lowest polymorph of the same formula is 1361 meV per atom. For the magnetization, the calculation gives 0.00 μB/atom.



Entry 4:
Here is a relaxed structure of HgTeI from Alexandria. Energies are from PBE.

Unit cell a=4.282 b=6.898 c=8.087 alpha=76.80 beta=89.89 gamma=89.71
Space group P1 (No. 1)
One atom of each set of equivalent atoms:
Hg: 0.000 0.000 0.000 (multiplicity 1)
Hg: 0.003 0.318 0.150 (multiplicity 1)
Te: 0.004 0.510 0.433 (multiplicity 1)
Te: 0.502 0.794 0.309 (multiplicity 1)
I: 0.002 0.674 0.845 (multiplicity 1)
I: 0.506 0.196 0.631 (multiplicity 1)

The value obtained for the distance to the lowest polymorph of the same formula is 133 meV per atom. The value obtained for the uncorrected formation energy is -0.070 eV per atom. For the magnetization, the calculation gives 0.00 μB/atom.



Entry 5:
Here is a relaxed structure of MnInFe2H from Alexandria. Energies are from PBE.

Unit cell a=3.846 b=3.846 c=3.879 alpha=90.00 beta=90.00 gamma=90.00
Space group P4/mmm (No. 123)
One atom of each set of equivalent atoms:
Mn: 0.000 0.000 0.000 (multiplicity 1)
In: 0.500 0.500 0.000 (multiplicity 1)
Fe: 0.000 0.500 0.500 (multiplicity 2)
H: 0.000 0.000 0.500 (multiplicity 1)

For the electronic total energy, the calculation gives -6.367 eV/atom. For the magnetization, the calculation gives 1.42 μB/atom.



Entry 6:
Here is a relaxed structure of LaErAgHg from Alexandria. Energies are from PBE.

Unit cell a=3.711 b=3.711 c=7.682 alpha=90.00 beta=90.00 gamma=90.00
Space group P4mm (No. 99)
One atom of each set of equivalent atoms:
La: 0.000 0.000 0.000 (multiplicity 1)
Er: 0.000 0.000 0.488 (multiplicity 1)
Ag: 0.500 0.500 0.277 (multiplicity 1)
Hg: 0.500 0.500 0.721 (multiplicity 1)

For the energy of formation, the calculation gives -390 meV per atom. The value obtained for the distance to the lowest polymorph of the same formula is 0 meV per atom. For the magnetization, the calculation gives 0.05 μB/atom.



Entry 7:
Here is a relaxed structure of Pr4Y3In from Alexandria. Energies are from PBE.

Unit cell a=5.008 b=5.026 c=20.681 alpha=90.00 beta=90.00 gamma=90.00
Space group Immm (No. 71)
One atom of each set of equivalent atoms:
Pr: 0.000 0.000 0.120 (multiplicity 4)
Pr: 0.000 0.500 0.253 (multiplicity 4)
Y: 0.000 0.000 0.382 (multiplicity 4)
Y: 0.000 0.500 0.500 (multiplicity 2)
In: 0.000 0.500 0.000 (multiplicity 2)

For the energy of formation, the calculation gives -106 meV per atom. The value obtained for the distance to the lowest polymorph of the same formula is 0 meV per atom. For the magnetization, the calculation gives 0.00 μB/atom.



Entry 8:
Here is a relaxed structure of K2Au2S7 from Alexandria. Energies are from PBE.

Unit cell a=12.229 b=9.865 c=4.573 alpha=90.00 beta=97.14 gamma=90.00
Space group C2/m (No. 12)
One atom of each set of equivalent atoms:
K: 0.241 0.000 0.465 (multiplicity 4)
Au: 0.000 0.144 0.000 (multiplicity 4)
S: 0.000 0.000 0.500 (multiplicity 2)
S: 0.027 0.500 0.708 (multiplicity 4)
S: 0.174 0.287 0.033 (multiplicity 8)

The value obtained for the uncorrected formation energy is -0.147 eV per atom. For the magnetization, the calculation gives 0.00 μB/atom.



Entry 9:
Here is a relaxed structure of BaYS2 from Alexandria. Energies are from PBE.

Unit cell a=6.726 b=6.726 c=12.630 alpha=90.00 beta=90.00 gamma=90.00
Space group I-42d (No. 122)
One atom of each set of equivalent atoms:
Ba: 0.000 0.000 0.000 (multiplicity 4)
Y: 0.000 0.000 0.500 (multiplicity 4)
S: 0.196 0.250 0.625 (multiplicity 8)

The value obtained for the distance to the lowest polymorph of the same formula is 335 meV per atom. The value obtained for the uncorrected formation energy is -1.679 eV per atom. For the magnetization, the calculation gives 0.25 μB/atom.



Entry 10:
Here is a relaxed structure of LaHgRh3 from Alexandria. Energies are from PBE.

Unit cell a=4.931 b=4.931 c=4.931 alpha=90.00 beta=90.00 gamma=90.00
Space group Pm-3m (No. 221)
One atom of each set of equivalent atoms:
La: 0.000 0.000 0.000 (multiplicity 1)
Hg: 0.500 0.500 0.500 (multiplicity 1)
Rh: 0.000 0.000 0.500 (multiplicity 3)

For the energy of formation, the calculation gives 933 meV per atom. The value obtained for the distance to the lowest polymorph of the same formula is 287 meV per atom. For the magnetization, the calculation gives 0.00 μB/atom.



Entry 11:
Here is a relaxed structure of SmEr4In3 from Alexandria. Energies are from PBE.

Unit cell a=5.3021 b=5.3021 c=27.8178 alpha=90.00 beta=90.00 gamma=120.00
Space group R-3m (No. 166, hexagonal axes)
One atom of each set of equivalent atoms:
Sm: 0.0000 0.0000 0.0000 (multiplicity 3)
Er: 0.0000 0.0000 0.1283 (multiplicity 6)
Er: 0.0000 0.0000 0.3899 (multiplicity 6)
In: 0.0000 0.0000 0.2660 (multiplicity 6)
In: 0.0000 0.0000 0.5000 (multiplicity 3)

For the energy of formation, the calculation gives -304 meV per atom. The value obtained for the distance to the lowest polymorph of the same formula is 0 meV per atom. For the magnetization, the calculation gives 0.00 μB/atom.



Entry 12:
Here is a relaxed structure of CdSi2TcMo from Alexandria. Energies are from PBE.

Unit cell a=4.668 b=4.668 c=4.999 alpha=90.00 beta=90.00 gamma=90.00
Space group P4/mmm (No. 123)
One atom of each set of equivalent atoms:
Cd: 0.000 0.000 0.000 (multiplicity 1)
Si: 0.000 0.500 0.000 (multiplicity 2)
Tc: 0.000 0.000 0.500 (multiplicity 1)
Mo: 0.500 0.500 0.500 (multiplicity 1)

The value obtained for the uncorrected formation energy is 2.259 eV per atom. For the magnetization, the calculation gives 0.57 μB/atom.